i.
Crystalline InCuBr3 at its relaxed geometry. Source: Alexandria, functional PBE.

a b c (Å): 5.1383 5.1383 5.1383
angles (deg): 90.00 90.00 90.00
Last column: nearest neighbours and their distance in Å.
Element x y z (fractional)
In1 0.5000 0.5000 0.5000  12 Br 3.63
Cu1 0.0000 0.0000 0.0000  6 Br 2.57
Br1 0.5000 0.0000 0.0000  2 Cu 2.57
Br2 0.0000 0.5000 0.0000  2 Cu 2.57
Br3 0.0000 0.0000 0.5000  2 Cu 2.57

## Properties
The space group is Pm-3m, No. 221. Its crystal system is cubic. The value obtained for the density is 5.12 g/cm³.


ii.
Crystalline InCuBr3 at its relaxed geometry. Source: Alexandria, functional PBE.

a b c (Å): 4.1916 6.8362 12.6191
angles (deg): 96.37 90.00 107.85
Last column: nearest neighbours and their distance in Å.
Element x y z (fractional)
In1 0.5995 0.1990 0.9538  5 Br 2.82-3.00, 1 In 2.96
In2 0.4005 0.8010 0.0462  5 Br 2.82-3.00, 1 In 2.96
Br1 0.9370 0.8740 0.2002  1 Cu 2.44
Br2 0.3653 0.7306 0.5922  2 Cu 2.33
Br3 0.6347 0.2694 0.4078  2 Cu 2.33
Br4 0.8024 0.6047 0.8966  3 In 2.82-3.00
Br5 0.0630 0.1260 0.7998  1 Cu 2.44
Br6 0.1976 0.3953 0.1034  3 In 2.82-3.00
Cu1 0.0799 0.1598 0.3443  3 Br 2.33-2.44
Cu2 0.9201 0.8402 0.6557  3 Br 2.33-2.44

## Properties
The space group is C2/m, No. 12. Its crystal system is monoclinic. The value obtained for the density is 4.06 g/cm³.


Which of them is the least stable? Correct choice: i.


i.
Crystalline CuIr3Br at its relaxed geometry. Source: Alexandria, functional PBE.

a b c (Å): 4.6006 4.6006 4.6006
angles (deg): 90.00 90.00 90.00
Last column: nearest neighbours and their distance in Å.
Element x y z (fractional)
Cu1 0.0000 0.0000 0.0000  6 Ir 2.30
Ir1 0.5000 0.0000 0.0000  2 Cu 2.30
Ir2 0.0000 0.5000 0.0000  2 Cu 2.30
Ir3 0.0000 0.0000 0.5000  2 Cu 2.30
Br1 0.5000 0.5000 0.5000  12 Ir 3.25

## Properties
The space group is Pm-3m, No. 221. Its crystal system is cubic. The value obtained for the density is 12.28 g/cm³.


ii.
Crystalline CuIr3Br at its relaxed geometry. Source: Alexandria, functional PBE.

a b c (Å): 4.5905 4.5905 4.5905
angles (deg): 90.00 90.00 90.00
Last column: nearest neighbours and their distance in Å.
Element x y z (fractional)
Ir1 0.0000 0.5000 0.0000  2 Br 2.30
Ir2 0.0000 0.0000 0.5000  2 Br 2.30
Ir3 0.5000 0.0000 0.0000  2 Br 2.30
Br1 0.0000 0.0000 0.0000  6 Ir 2.30
Cu1 0.5000 0.5000 0.5000  12 Ir 3.25

## Properties
The space group is Pm-3m, No. 221. Its crystal system is cubic. The value obtained for the density is 12.36 g/cm³.


Which of them is the least stable? Correct choice: ii.